Material: Sr3Cd5Ag6
Method: DFT, GGA-PBE
State: optimized geometry

Lattice parameters (Å, degrees): 9.053 9.053 9.053 149.08 111.62 76.92
Sites, in units of the cell vectors:
Sr: 0.000 0.000 0.000
Sr: 0.314 0.314 0.000
Sr: 0.686 0.686 0.000
Cd: 0.031 0.678 0.354
Cd: 0.324 0.678 0.646
Cd: 0.500 0.000 0.500
Cd: 0.676 0.322 0.354
Cd: 0.969 0.322 0.646
Ag: 0.157 0.879 0.278
Ag: 0.291 0.500 0.791
Ag: 0.399 0.121 0.278
Ag: 0.601 0.879 0.722
Ag: 0.709 0.500 0.209
Ag: 0.843 0.121 0.722

Total moment   0.00 μB per cell
Total energy   -2.165 eV per atom
ΔH_f (0 K)   -0.256 eV per atom